w) Below is a relaxed Pr3Al2Cd crystal, with properties calculated at the PBE level.

Cell and atoms, written as CIF:
```
data_Pr3Al2Cd
_cell_length_a 3.649
_cell_length_b 3.649
_cell_length_c 12.320
_cell_angle_alpha 90.00
_cell_angle_beta 90.00
_cell_angle_gamma 90.00
_symmetry_space_group_name_H-M 'P 4/m m m'
_symmetry_Int_Tables_number 123
_symmetry_space_group_name_Hall '-P 4 2'
loop_
_atom_site_label
_atom_site_fract_x
_atom_site_fract_y
_atom_site_fract_z
Pr1 0.000 0.000 0.000
Pr2 0.000 0.000 0.322
Al1 0.500 0.500 0.165
Cd1 0.500 0.500 0.500
```

Values from the calculation:
- size of the total moment (μB per formula unit) = 0.0
- volume (Å³/atom) = 27.342
- crystal system = tetragonal



x) Below is a relaxed Pr3Al2Cd crystal, with properties calculated at the PBE level.

Cell and atoms, written as CIF:
```
data_Pr3Al2Cd
_cell_length_a 5.3877
_cell_length_b 5.3877
_cell_length_c 13.1884
_cell_angle_alpha 90.00
_cell_angle_beta 90.00
_cell_angle_gamma 120.00
_symmetry_space_group_name_H-M 'P -3 m 1'
_symmetry_Int_Tables_number 164
_symmetry_space_group_name_Hall '-P 3 2"'
loop_
_atom_site_label
_atom_site_fract_x
_atom_site_fract_y
_atom_site_fract_z
Pr1 0.0000 0.0000 0.2435
Pr2 0.3333 0.6667 0.4159
Pr3 0.3333 0.6667 0.9214
Al1 0.0000 0.0000 0.0000
Al2 0.0000 0.0000 0.5000
Al3 0.3333 0.6667 0.1696
Cd1 0.3333 0.6667 0.6692
```

Values from the calculation:
- size of the total moment (μB per formula unit) = 0.0
- volume (Å³/atom) = 27.628
- crystal system = trigonal



Winner for stability: w)



w) Below is a relaxed Pr4Al3Cd crystal, with properties calculated at the PBE level.

Cell and atoms, written as CIF:
```
data_Pr4Al3Cd
_cell_length_a 5.3733
_cell_length_b 5.3733
_cell_length_c 26.2612
_cell_angle_alpha 90.00
_cell_angle_beta 90.00
_cell_angle_gamma 120.00
_symmetry_space_group_name_H-M 'R -3 m'
_symmetry_Int_Tables_number 166
_symmetry_space_group_name_Hall '-R 3 2"'
loop_
_atom_site_label
_atom_site_fract_x
_atom_site_fract_y
_atom_site_fract_z
Pr1 0.0000 0.0000 0.1224
Pr2 0.0000 0.0000 0.3728
Al1 0.0000 0.0000 0.0000
Al2 0.0000 0.0000 0.2476
Cd1 0.0000 0.0000 0.5000
```

Values from the calculation:
- size of the total moment (μB per formula unit) = 0.0
- volume (Å³/atom) = 27.360
- crystal system = trigonal



x) Below is a relaxed Pr4Al3Cd crystal, with properties calculated at the PBE level.

Cell and atoms, written as CIF:
```
data_Pr4Al3Cd
_cell_length_a 3.807
_cell_length_b 4.694
_cell_length_c 12.424
_cell_angle_alpha 90.00
_cell_angle_beta 90.00
_cell_angle_gamma 90.00
_symmetry_space_group_name_H-M 'P m m 2'
_symmetry_Int_Tables_number 25
_symmetry_space_group_name_Hall 'P 2 -2'
loop_
_atom_site_label
_atom_site_fract_x
_atom_site_fract_y
_atom_site_fract_z
Pr1 0.000 0.000 0.000
Pr2 0.000 0.500 0.303
Pr3 0.500 0.000 0.492
Pr4 0.500 0.500 0.811
Al1 0.000 0.500 0.583
Al2 0.500 0.000 0.215
Al3 0.500 0.500 0.088
Cd1 0.000 0.000 0.715
```

Values from the calculation:
- size of the total moment (μB per formula unit) = 0.0
- volume (Å³/atom) = 27.757
- crystal system = orthorhombic



Winner for stability: w)



w) Below is a relaxed PrSmAlCd crystal, with properties calculated at the PBE level.

Cell and atoms, written as CIF:
```
data_PrSmAlCd
_cell_length_a 7.585
_cell_length_b 7.585
_cell_length_c 7.585
_cell_angle_alpha 90.00
_cell_angle_beta 90.00
_cell_angle_gamma 90.00
_symmetry_space_group_name_H-M 'F -4 3 m'
_symmetry_Int_Tables_number 216
_symmetry_space_group_name_Hall 'F -4 2 3'
loop_
_atom_site_label
_atom_site_fract_x
_atom_site_fract_y
_atom_site_fract_z
Pr1 0.000 0.000 0.000
Sm1 0.000 0.000 0.500
Al1 0.250 0.250 0.250
Cd1 0.250 0.250 0.750
```

Values from the calculation:
- size of the total moment (μB per formula unit) = 0.0
- volume (Å³/atom) = 27.277
- crystal system = cubic



x) Below is a relaxed PrSmAlCd crystal, with properties calculated at the PBE level.

Cell and atoms, written as CIF:
```
data_PrSmAlCd
_cell_length_a 3.623
_cell_length_b 3.623
_cell_length_c 8.215
_cell_angle_alpha 90.00
_cell_angle_beta 90.00
_cell_angle_gamma 90.00
_symmetry_space_group_name_H-M 'P 4 m m'
_symmetry_Int_Tables_number 99
_symmetry_space_group_name_Hall 'P 4 -2'
loop_
_atom_site_label
_atom_site_fract_x
_atom_site_fract_y
_atom_site_fract_z
Pr1 0.000 0.000 0.000
Sm1 0.000 0.000 0.473
Al1 0.500 0.500 0.242
Cd1 0.500 0.500 0.728
```

Values from the calculation:
- size of the total moment (μB per formula unit) = 0.0
- volume (Å³/atom) = 26.964
- crystal system = tetragonal



Winner for stability: x)



w) Below is a relaxed PrTmAlCd crystal, with properties calculated at the PBE level.

Cell and atoms, written as CIF:
```
data_PrTmAlCd
_cell_length_a 3.667
_cell_length_b 3.667
_cell_length_c 7.681
_cell_angle_alpha 90.00
_cell_angle_beta 90.00
_cell_angle_gamma 90.00
_symmetry_space_group_name_H-M 'P 4 m m'
_symmetry_Int_Tables_number 99
_symmetry_space_group_name_Hall 'P 4 -2'
loop_
_atom_site_label
_atom_site_fract_x
_atom_site_fract_y
_atom_site_fract_z
Pr1 0.000 0.000 0.000
Tm1 0.000 0.000 0.476
Al1 0.500 0.500 0.255
Cd1 0.500 0.500 0.711
```

Values from the calculation:
- size of the total moment (μB per formula unit) = 0.0
- volume (Å³/atom) = 25.816
- crystal system = tetragonal



x) Below is a relaxed PrTmAlCd crystal, with properties calculated at the PBE level.

Cell and atoms, written as CIF:
```
data_PrTmAlCd
_cell_length_a 7.463
_cell_length_b 7.463
_cell_length_c 7.463
_cell_angle_alpha 90.00
_cell_angle_beta 90.00
_cell_angle_gamma 90.00
_symmetry_space_group_name_H-M 'F -4 3 m'
_symmetry_Int_Tables_number 216
_symmetry_space_group_name_Hall 'F -4 2 3'
loop_
_atom_site_label
_atom_site_fract_x
_atom_site_fract_y
_atom_site_fract_z
Pr1 0.000 0.000 0.000
Tm1 0.000 0.000 0.500
Al1 0.250 0.250 0.750
Cd1 0.250 0.250 0.250
```

Values from the calculation:
- size of the total moment (μB per formula unit) = 0.0
- volume (Å³/atom) = 25.977
- crystal system = cubic



Winner for stability: w)



w) Below is a relaxed AlCdPt3 crystal, with properties calculated at the PBE level.

Cell and atoms, written as CIF:
```
data_AlCdPt3
_cell_length_a 4.914
_cell_length_b 4.914
_cell_length_c 4.914
_cell_angle_alpha 90.00
_cell_angle_beta 90.00
_cell_angle_gamma 90.00
_symmetry_space_group_name_H-M 'P m -3 m'
_symmetry_Int_Tables_number 221
_symmetry_space_group_name_Hall '-P 4 2 3'
loop_
_atom_site_label
_atom_site_fract_x
_atom_site_fract_y
_atom_site_fract_z
Al1 0.000 0.000 0.000
Cd1 0.500 0.500 0.500
Pt1 0.000 0.500 0.500
```

Values from the calculation:
- size of the total moment (μB per formula unit) = 0.0
- volume (Å³/atom) = 23.735
- crystal system = cubic



x) Below is a relaxed AlCdPt3 crystal, with properties calculated at the PBE level.

Cell and atoms, written as CIF:
```
data_AlCdPt3
_cell_length_a 4.590
_cell_length_b 4.590
_cell_length_c 4.590
_cell_angle_alpha 90.00
_cell_angle_beta 90.00
_cell_angle_gamma 90.00
_symmetry_space_group_name_H-M 'P m -3 m'
_symmetry_Int_Tables_number 221
_symmetry_space_group_name_Hall '-P 4 2 3'
loop_
_atom_site_label
_atom_site_fract_x
_atom_site_fract_y
_atom_site_fract_z
Al1 0.000 0.000 0.000
Cd1 0.500 0.500 0.500
Pt1 0.000 0.000 0.500
```

Values from the calculation:
- size of the total moment (μB per formula unit) = 0.0
- volume (Å³/atom) = 19.337
- crystal system = cubic



Winner for stability: x)



w) Below is a relaxed RbAlCd3 crystal, with properties calculated at the PBE level.

Cell and atoms, written as CIF:
```
data_RbAlCd3
_cell_length_a 6.461
_cell_length_b 6.461
_cell_length_c 6.461
_cell_angle_alpha 90.00
_cell_angle_beta 90.00
_cell_angle_gamma 90.00
_symmetry_space_group_name_H-M 'P m -3 m'
_symmetry_Int_Tables_number 221
_symmetry_space_group_name_Hall '-P 4 2 3'
loop_
_atom_site_label
_atom_site_fract_x
_atom_site_fract_y
_atom_site_fract_z
Rb1 0.000 0.000 0.000
Al1 0.500 0.500 0.500
Cd1 0.000 0.000 0.500
```

Values from the calculation:
- size of the total moment (μB per formula unit) = 0.0
- volume (Å³/atom) = 53.948
- crystal system = cubic



x) Below is a relaxed RbAlCd3 crystal, with properties calculated at the PBE level.

Cell and atoms, written as CIF:
```
data_RbAlCd3
_cell_length_a 5.458
_cell_length_b 5.458
_cell_length_c 5.458
_cell_angle_alpha 90.00
_cell_angle_beta 90.00
_cell_angle_gamma 90.00
_symmetry_space_group_name_H-M 'P m -3 m'
_symmetry_Int_Tables_number 221
_symmetry_space_group_name_Hall '-P 4 2 3'
loop_
_atom_site_label
_atom_site_fract_x
_atom_site_fract_y
_atom_site_fract_z
Rb1 0.000 0.000 0.000
Al1 0.500 0.500 0.500
Cd1 0.000 0.500 0.500
```

Values from the calculation:
- size of the total moment (μB per formula unit) = 0.0
- volume (Å³/atom) = 32.518
- crystal system = cubic



Winner for stability: x)